Cu2BiS2Br (GGA-PBE, optimized geometry); formation energy from raw total energies = -226.3 meV per atom; electronic total energy = -3.89 eV/atom; volume = 288.62 Å³ per cell
1.0
-1.961 -4.528 0.571
6.068 -2.166 3.658
-5.413 3.033 5.466
S Cu Bi Br
4 4 2 2
Direct
0.750 0.439 0.300 S
0.250 0.099 0.423 S
0.250 0.561 0.700 S
0.750 0.901 0.577 S
0.001 0.840 0.784 Cu
0.499 0.840 0.784 Cu
0.999 0.160 0.216 Cu
0.501 0.160 0.216 Cu
0.750 0.295 0.557 Bi
0.250 0.705 0.443 Bi
0.750 0.834 0.059 Br
0.250 0.166 0.941 Br

=====

Tl4In4Hg7 (GGA-PBE, optimized geometry); electronic total energy = -1.50 eV/atom; volume = 852.47 Å³ per cell; ΔH_f (0 K) = -0.016 eV per formula unit
1.0
6.484 -0.046 1.718
3.139 11.240 1.030
0.101 0.177 11.703
In Hg Tl
8 14 8
Direct
0.904 0.462 0.238 In
0.095 0.761 0.538 In
0.096 0.538 0.762 In
0.410 0.160 0.502 In
0.592 0.493 0.837 In
0.905 0.239 0.462 In
0.408 0.507 0.163 In
0.590 0.840 0.498 In
0.193 0.420 0.420 Hg
0.751 0.002 0.999 Hg
0.249 0.998 0.001 Hg
0.773 0.599 0.008 Hg
0.996 0.704 0.297 Hg
0.777 0.011 0.601 Hg
0.227 0.401 0.992 Hg
0.500 0.398 0.601 Hg
0.223 0.989 0.399 Hg
0.500 0.602 0.399 Hg
0.807 0.580 0.580 Hg
0.654 0.270 0.269 Hg
0.346 0.730 0.731 Hg
0.004 0.296 0.703 Hg
0.135 0.737 0.010 Tl
0.861 0.989 0.262 Tl
0.139 0.011 0.738 Tl
0.865 0.263 0.990 Tl
0.496 0.188 0.813 Tl
0.301 0.179 0.180 Tl
0.699 0.821 0.820 Tl
0.504 0.812 0.187 Tl